The following is a PBE calculation of a geometry-optimized Zn2PPtPb structure, from Alexandria.

```
data_Zn2PPtPb
_cell_length_a 4.431
_cell_length_b 4.431
_cell_length_c 5.856
_cell_angle_alpha 90.00
_cell_angle_beta 90.00
_cell_angle_gamma 90.00
_symmetry_space_group_name_H-M 'P 4/m m m'
_symmetry_Int_Tables_number 123
_symmetry_space_group_name_Hall '-P 4 2'
loop_
_atom_site_label
_atom_site_fract_x
_atom_site_fract_y
_atom_site_fract_z
Zn1 0.000 0.500 0.000
P1 0.000 0.000 0.000
Pt1 0.500 0.500 0.500
Pb1 0.000 0.000 0.500
```

The mass density is 8145 kg/m3. The total DFT energy (no corrections) is -3.11 eV/atom.


The following is a PBE calculation of a geometry-optimized PuP2Pb structure, from Alexandria.

```
data_PuP2Pb
_cell_length_a 4.1021
_cell_length_b 4.1021
_cell_length_c 20.2657
_cell_angle_alpha 90.00
_cell_angle_beta 90.00
_cell_angle_gamma 120.00
_symmetry_space_group_name_H-M 'R -3 m'
_symmetry_Int_Tables_number 166
_symmetry_space_group_name_Hall '-R 3 2"'
loop_
_atom_site_label
_atom_site_fract_x
_atom_site_fract_y
_atom_site_fract_z
Pu1 0.0000 0.0000 0.0000
P1 0.0000 0.0000 0.2631
Pb1 0.0000 0.0000 0.5000
```

The mass density is 8656 kg/m3. Its relative energy among the computed polymorphs is 0.0 kJ/mol of atoms.


The following is a PBE calculation of a geometry-optimized PuP2Pb structure, from Alexandria.

```
data_PuP2Pb
_cell_length_a 4.1522
_cell_length_b 4.1522
_cell_length_c 19.8863
_cell_angle_alpha 90.00
_cell_angle_beta 90.00
_cell_angle_gamma 120.00
_symmetry_space_group_name_H-M 'R 3 m'
_symmetry_Int_Tables_number 160
_symmetry_space_group_name_Hall 'R 3 -2"'
loop_
_atom_site_label
_atom_site_fract_x
_atom_site_fract_y
_atom_site_fract_z
Pu1 0.0000 0.0000 0.0000
P1 0.0000 0.0000 0.3982
P2 0.0000 0.0000 0.5946
Pb1 0.0000 0.0000 0.1749
```

The mass density is 8609 kg/m3. Its relative energy among the computed polymorphs is 4.5 kJ/mol of atoms.


The following is a PBE calculation of a geometry-optimized PuPPb structure, from Alexandria.

```
data_PuPPb
_cell_length_a 3.736
_cell_length_b 22.433
_cell_length_c 3.642
_cell_angle_alpha 90.00
_cell_angle_beta 90.00
_cell_angle_gamma 90.00
_symmetry_space_group_name_H-M 'C m c m'
_symmetry_Int_Tables_number 63
_symmetry_space_group_name_Hall '-C 2c 2'
loop_
_atom_site_label
_atom_site_fract_x
_atom_site_fract_y
_atom_site_fract_z
Pu1 0.000 0.033 0.250
P1 0.000 0.430 0.250
Pb1 0.000 0.302 0.250
```

The mass density is 10492 kg/m3. The total DFT energy (no corrections) is -7.96 eV/atom.